Record 1
Compound: VZnPd2
Source: Alexandria
Functional: GGA-PBE
Structure: relaxed

a = 8.7748 Å, b = 8.7748 Å, c = 8.7748 Å
α = 18.31°, β = 18.31°, γ = 18.31°
Closest atoms and distances in Å follow each position.
Element x y z (fractional)
1 V 0.0000 0.0000 0.0000  6 Pd 2.68, 6 V 2.79
2 Zn 0.8334 0.8334 0.8334  6 Pd 2.70-2.71, 6 Zn 2.79
3 Pd 0.4162 0.4162 0.4162  3 V 2.68, 3 Zn 2.70, 6 Pd 2.79
4 Pd 0.5840 0.5840 0.5840  3 V 2.68, 3 Zn 2.71, 6 Pd 2.79

Calculated values
* crystal system: trigonal
* uncorrected energy: -5.43 eV per atom
* DFT formation energy: -0.24 eV per atom


Record 2
Compound: Ru5C
Source: Alexandria
Functional: GGA-PBE
Structure: relaxed

a = 6.7896 Å, b = 6.7896 Å, c = 4.3367 Å
α = 103.67°, β = 103.67°, γ = 23.41°
Closest atoms and distances in Å follow each position.
Element x y z (fractional)
1 Ru 0.0000 0.0000 0.0000  12 Ru 2.61-2.75, 1 C 2.91
2 Ru 0.3152 0.3152 0.8725  1 C 2.01
3 Ru 0.5634 0.5634 0.5574  2 C 2.19
4 Ru 0.6822 0.6822 0.1565  2 C 2.06
5 Ru 0.8859 0.8859 0.4182  11 Ru 2.61-2.75
6 C 0.1873 0.1873 0.5129  5 Ru 2.01-2.19

Calculated values
* crystal system: monoclinic
* uncorrected energy: -8.96 eV per atom
* DFT formation energy: 0.31 eV per atom


Record 3
Compound: SrYS2F
Source: Alexandria
Functional: GGA-PBE
Structure: relaxed

a = 3.9884 Å, b = 3.9884 Å, c = 14.0787 Å
α = 90.00°, β = 90.00°, γ = 90.00°
Closest atoms and distances in Å follow each position.
Element x y z (fractional)
1 Sr 0.2500 0.2500 0.1055  4 F 2.49
2 Sr 0.7500 0.7500 0.8945  4 F 2.49
3 Y 0.2500 0.2500 0.6199  1 S 2.49
4 Y 0.7500 0.7500 0.3801  1 S 2.49
5 S 0.2500 0.2500 0.4101  5 Y 2.85-2.95
6 S 0.2500 0.2500 0.7966  1 Y 2.49
7 S 0.7500 0.7500 0.2034  1 Y 2.49
8 S 0.7500 0.7500 0.5899  5 Y 2.85-2.95
9 F 0.2500 0.7500 0.0000  4 Sr 2.49
10 F 0.7500 0.2500 0.0000  4 Sr 2.49

Calculated values
* crystal system: tetragonal
* uncorrected energy: -6.25 eV per atom
* raw formation energy: -2.60 eV per atom


Calculated values (μB per formula unit) of M_tot for the records, taken in order: 0.00, 0.00, 0.00.
Calculated values (states/eV/atom) of N(E_F) for the records, taken in order: 0.888, 0.894, 0.174.